[1]
The following is a DFT calculation (PBE-GGA) of Pm2Al3Ag4 after structural relaxation.

Structure (CIF):
```
data_Pm2Al3Ag4
_cell_length_a 5.8044
_cell_length_b 15.9860
_cell_length_c 8.0560
_cell_angle_alpha 90.00
_cell_angle_beta 90.00
_cell_angle_gamma 90.00
_symmetry_space_group_name_H-M 'C m c e'
_symmetry_Int_Tables_number 64
_symmetry_space_group_name_Hall '-C 2ac 2'
loop_
_atom_site_label
_atom_site_type_symbol
_atom_site_fract_x
_atom_site_fract_y
_atom_site_fract_z
Pm1 Pm 0.0000 0.1047 0.0995
Al1 Al 0.0000 0.0000 0.5000
Al2 Al 0.2500 0.2343 0.7500
Ag1 Ag 0.0000 0.1812 0.4860
Ag2 Ag 0.2500 0.0656 0.7500
```

## Properties
The calculation puts the total moment at 0.00 μB/f.u. The value obtained for the energy of formation from the pure elements is -291 meV per atom. The density of states at the Fermi level comes out at 22.28 states/eV/cell.

***

[2]
The following is a DFT calculation (PBE-GGA) of NdAsO3 after structural relaxation.

Structure (CIF):
```
data_NdAsO3
_cell_length_a 4.4298
_cell_length_b 6.3647
_cell_length_c 6.4468
_cell_angle_alpha 103.41
_cell_angle_beta 101.89
_cell_angle_gamma 104.83
_symmetry_space_group_name_H-M 'P 1'
_symmetry_Int_Tables_number 1
loop_
_symmetry_equiv_pos_as_xyz
'x,y,z'
loop_
_atom_site_label
_atom_site_type_symbol
_atom_site_fract_x
_atom_site_fract_y
_atom_site_fract_z
Nd1 Nd 0.0000 0.0000 0.0000
Nd2 Nd 0.1068 0.4200 0.6956
As1 As 0.3532 0.9062 0.4867
As2 As 0.7864 0.4603 0.1365
O1 O 0.1426 0.4058 0.0627
O2 O 0.1622 0.7937 0.6836
O3 O 0.1825 0.1233 0.4264
O4 O 0.5757 0.1620 0.0837
O5 O 0.6804 0.5592 0.8876
O6 O 0.7286 0.0826 0.6830
```

## Properties
The energy comes out at -7.134 eV/atom. The calculation puts the total moment at 0.00 μB/f.u. The density of states at the Fermi level comes out at 0.00 states/eV/cell.

***

[3]
The following is a DFT calculation (PBE-GGA) of CdP2S after structural relaxation.

Structure (CIF):
```
data_CdP2S
_cell_length_a 5.3755
_cell_length_b 5.3755
_cell_length_c 12.7338
_cell_angle_alpha 90.00
_cell_angle_beta 90.00
_cell_angle_gamma 90.00
_symmetry_space_group_name_H-M 'I -4 2 d'
_symmetry_Int_Tables_number 122
_symmetry_space_group_name_Hall 'I -4 2bw'
loop_
_atom_site_label
_atom_site_type_symbol
_atom_site_fract_x
_atom_site_fract_y
_atom_site_fract_z
Cd1 Cd 0.0000 0.0000 0.0000
P1 P 0.2026 0.2500 0.6250
S1 S 0.0000 0.0000 0.5000
```

## Properties
The energy comes out at -3.530 eV/atom. The calculation puts the total moment at 0.00 μB/f.u. The density of states at the Fermi level comes out at 3.06 states/eV/cell.

***

[4]
The following is a DFT calculation (PBE-GGA) of Y2MgTe after structural relaxation.

Structure (CIF):
```
data_Y2MgTe
_cell_length_a 7.5907
_cell_length_b 7.5907
_cell_length_c 7.5907
_cell_angle_alpha 90.00
_cell_angle_beta 90.00
_cell_angle_gamma 90.00
_symmetry_space_group_name_H-M 'F m -3 m'
_symmetry_Int_Tables_number 225
_symmetry_space_group_name_Hall '-F 4 2 3'
loop_
_atom_site_label
_atom_site_type_symbol
_atom_site_fract_x
_atom_site_fract_y
_atom_site_fract_z
Y1 Y 0.2500 0.2500 0.2500
Mg1 Mg 0.0000 0.0000 0.0000
Te1 Te 0.0000 0.0000 0.5000
```

## Properties
The energy comes out at -4.835 eV/atom. The calculation puts the total moment at 0.00 μB/f.u. The density of states at the Fermi level comes out at 9.43 states/eV/cell.

***

[5]
The following is a DFT calculation (PBE-GGA) of SrPdCO5 after structural relaxation.

Structure (CIF):
```
data_SrPdCO5
_cell_length_a 6.9929
_cell_length_b 9.1020
_cell_length_c 6.7136
_cell_angle_alpha 90.00
_cell_angle_beta 101.78
_cell_angle_gamma 90.00
_symmetry_space_group_name_H-M 'C 1 2/c 1'
_symmetry_Int_Tables_number 15
loop_
_symmetry_equiv_pos_as_xyz
'x,y,z'
'-x,-y,-z'
'-x,y,-z+1/2'
'x,-y,z+1/2'
'x+1/2,y+1/2,z'
'-x+1/2,-y+1/2,-z'
'-x+1/2,y+1/2,-z+1/2'
'x+1/2,-y+1/2,z+1/2'
loop_
_atom_site_label
_atom_site_type_symbol
_atom_site_fract_x
_atom_site_fract_y
_atom_site_fract_z
Sr1 Sr 0.0000 0.1328 0.2500
Pd1 Pd 0.0000 0.5000 0.0000
C1 C 0.0000 0.2304 0.7500
O1 O 0.0000 0.4007 0.2500
O2 O 0.1057 0.1362 0.8927
O3 O 0.1247 0.3191 0.6590
```

## Properties
The energy comes out at -6.358 eV/atom. The calculation puts the total moment at 1.28 μB/f.u. The density of states at the Fermi level comes out at 21.29 states/eV/cell.

***

[6]
The following is a DFT calculation (PBE-GGA) of TcHgPd3 after structural relaxation.

Structure (CIF):
```
data_TcHgPd3
_cell_length_a 4.9877
_cell_length_b 4.9877
_cell_length_c 4.9877
_cell_angle_alpha 90.00
_cell_angle_beta 90.00
_cell_angle_gamma 90.00
_symmetry_space_group_name_H-M 'P m -3 m'
_symmetry_Int_Tables_number 221
_symmetry_space_group_name_Hall '-P 4 2 3'
loop_
_atom_site_label
_atom_site_type_symbol
_atom_site_fract_x
_atom_site_fract_y
_atom_site_fract_z
Tc1 Tc 0.0000 0.0000 0.0000
Hg1 Hg 0.5000 0.5000 0.5000
Pd1 Pd 0.0000 0.5000 0.5000
```

## Properties
The calculation puts the total moment at 4.84 μB/f.u. The value obtained for the energy of formation from the pure elements is 1467 meV per atom. The density of states at the Fermi level comes out at 3.02 states/eV/cell.

***

[7]
The following is a DFT calculation (PBE-GGA) of BeOs3Pt after structural relaxation.

Structure (CIF):
```
data_BeOs3Pt
_cell_length_a 4.7362
_cell_length_b 4.7362
_cell_length_c 4.7362
_cell_angle_alpha 90.00
_cell_angle_beta 90.00
_cell_angle_gamma 90.00
_symmetry_space_group_name_H-M 'P m -3 m'
_symmetry_Int_Tables_number 221
_symmetry_space_group_name_Hall '-P 4 2 3'
loop_
_atom_site_label
_atom_site_type_symbol
_atom_site_fract_x
_atom_site_fract_y
_atom_site_fract_z
Be1 Be 0.0000 0.0000 0.0000
Os1 Os 0.0000 0.5000 0.5000
Pt1 Pt 0.5000 0.5000 0.5000
```

## Properties
The calculation puts the total moment at 0.00 μB/f.u. The value obtained for the energy of formation from the pure elements is 2907 meV per atom. The density of states at the Fermi level comes out at 8.87 states/eV/cell.

***

[8]
The following is a DFT calculation (PBE-GGA) of ScTl2In after structural relaxation.

Structure (CIF):
```
data_ScTl2In
_cell_length_a 6.5694
_cell_length_b 8.6891
_cell_length_c 3.5769
_cell_angle_alpha 90.00
_cell_angle_beta 90.00
_cell_angle_gamma 90.00
_symmetry_space_group_name_H-M 'C m m m'
_symmetry_Int_Tables_number 65
_symmetry_space_group_name_Hall '-C 2 2'
loop_
_atom_site_label
_atom_site_type_symbol
_atom_site_fract_x
_atom_site_fract_y
_atom_site_fract_z
Sc1 Sc 0.0000 0.0000 0.0000
Tl1 Tl 0.2500 0.2500 0.5000
In1 In 0.0000 0.5000 0.0000
```

## Properties
The calculation puts the total moment at 0.00 μB/f.u. The value obtained for the energy of formation from the pure elements is -91 meV per atom. The density of states at the Fermi level comes out at 5.50 states/eV/cell.

***

[9]
The following is a DFT calculation (PBE-GGA) of Tc2IO8 after structural relaxation.

Structure (CIF):
```
data_Tc2IO8
_cell_length_a 10.0128
_cell_length_b 8.2799
_cell_length_c 7.4146
_cell_angle_alpha 90.00
_cell_angle_beta 127.73
_cell_angle_gamma 90.00
_symmetry_space_group_name_H-M 'C 1 2/m 1'
_symmetry_Int_Tables_number 12
loop_
_symmetry_equiv_pos_as_xyz
'x,y,z'
'-x,-y,-z'
'-x,y,-z'
'x,-y,z'
'x+1/2,y+1/2,z'
'-x+1/2,-y+1/2,-z'
'-x+1/2,y+1/2,-z'
'x+1/2,-y+1/2,z'
loop_
_atom_site_label
_atom_site_type_symbol
_atom_site_fract_x
_atom_site_fract_y
_atom_site_fract_z
Tc1 Tc 0.1669 0.0000 0.3785
I1 I 0.0000 0.5000 0.0000
O1 O 0.0433 0.1702 0.2538
O2 O 0.1833 0.5000 0.6638
O3 O 0.2381 0.5000 0.3163
```

## Properties
The energy comes out at -6.634 eV/atom. The calculation puts the total moment at 1.03 μB/f.u. The density of states at the Fermi level comes out at 4.03 states/eV/cell.

***

[10]
The following is a DFT calculation (PBE-GGA) of BeCrIn2 after structural relaxation.

Structure (CIF):
```
data_BeCrIn2
_cell_length_a 3.3722
_cell_length_b 3.3722
_cell_length_c 6.2348
_cell_angle_alpha 90.00
_cell_angle_beta 90.00
_cell_angle_gamma 90.00
_symmetry_space_group_name_H-M 'P 4/m m m'
_symmetry_Int_Tables_number 123
_symmetry_space_group_name_Hall '-P 4 2'
loop_
_atom_site_label
_atom_site_type_symbol
_atom_site_fract_x
_atom_site_fract_y
_atom_site_fract_z
Be1 Be 0.0000 0.0000 0.0000
Cr1 Cr 0.0000 0.0000 0.5000
In1 In 0.5000 0.5000 0.2361
```

## Properties
The calculation puts the total moment at 3.50 μB/f.u. The value obtained for the energy of formation from the pure elements is 494 meV per atom. The density of states at the Fermi level comes out at 2.21 states/eV/cell.

***

[11]
The following is a DFT calculation (PBE-GGA) of Pu2NiGe6Ru after structural relaxation.

Structure (CIF):
```
data_Pu2NiGe6Ru
_cell_length_a 6.0507
_cell_length_b 6.0507
_cell_length_c 37.0730
_cell_angle_alpha 90.00
_cell_angle_beta 90.00
_cell_angle_gamma 120.00
_symmetry_space_group_name_H-M 'R -3 m'
_symmetry_Int_Tables_number 166
_symmetry_space_group_name_Hall '-R 3 2"'
loop_
_atom_site_label
_atom_site_type_symbol
_atom_site_fract_x
_atom_site_fract_y
_atom_site_fract_z
Pu1 Pu 0.0000 0.0000 0.1256
Pu2 Pu 0.0000 0.0000 0.2804
Ni1 Ni 0.0000 0.0000 0.0000
Ni2 Ni 0.0000 0.0000 0.5000
Ge1 Ge 0.0449 0.5225 0.7170
Ge2 Ge 0.0538 0.5269 0.8701
Ru1 Ru 0.0000 0.0000 0.4244
```

## Properties
The calculation puts the total moment at 10.76 μB/f.u. The value obtained for the energy of formation from the pure elements is -238 meV per atom. The density of states at the Fermi level comes out at 83.75 states/eV/cell.

***

[12]
The following is a DFT calculation (PBE-GGA) of Ba3AlCu2S6 after structural relaxation.

Structure (CIF):
```
data_Ba3AlCu2S6
_cell_length_a 7.0567
_cell_length_b 7.0567
_cell_length_c 8.0125
_cell_angle_alpha 90.00
_cell_angle_beta 90.00
_cell_angle_gamma 120.00
_symmetry_space_group_name_H-M 'P -3 m 1'
_symmetry_Int_Tables_number 164
_symmetry_space_group_name_Hall '-P 3 2"'
loop_
_atom_site_label
_atom_site_type_symbol
_atom_site_fract_x
_atom_site_fract_y
_atom_site_fract_z
Ba1 Ba 0.0000 0.0000 0.0000
Ba2 Ba 0.3333 0.6667 0.6496
Al1 Al 0.0000 0.0000 0.5000
Cu1 Cu 0.3333 0.6667 0.2731
S1 S 0.1560 0.3120 0.3076
```

## Properties
The energy comes out at -4.665 eV/atom. The calculation puts the total moment at 0.00 μB/f.u. The density of states at the Fermi level comes out at 6.62 states/eV/cell.